[1]
Here is a geometry-optimized GdBiO2 structure from Alexandria. Energies are from PBE-GGA.

abc: 3.850 3.850 6.878
angles: 73.75 73.75 60.00
Each line ends with the local moment (μB).
Fractional positions:
Gd (0.000, 0.000, 0.000)  7.00
Bi (0.500, 0.500, 0.500)  -0.03
O (0.112, 0.112, 0.664)  0.01
O (0.888, 0.888, 0.336)  0.01

## Properties
**Density of states at the Fermi level**: 0.417 states/eV/atom
**Total moment**: 7.1 μB/cell
**Space-group type**: No. 166

=====

[2]
Here is a geometry-optimized Gd2BiO structure from Alexandria. Energies are from PBE-GGA.

abc: 3.312 3.312 7.790
angles: 90.00 90.00 90.00
Each line ends with the local moment (μB).
Fractional positions:
Gd (0.000, 0.000, 0.803)  7.26
Gd (0.000, 0.000, 0.197)  7.26
Bi (0.500, 0.500, 0.500)  -0.09
O (0.500, 0.500, 0.000)  -0.04

## Properties
**Energy relative to the lowest polymorph listed for this composition**: 1.90 eV/f.u.
**Density of states at the Fermi level**: 1.263 states/eV/atom
**Total moment**: 14.9 μB/cell
**Space-group type**: No. 123

=====

Number 1: raw formation energy -1.441 eV per atom. Number 2: raw formation energy -1.133 eV per atom.